Record 1
Density functional theory data (PBE) for a relaxed Ru3Cl5 crystal. Values from VASP.

Cell and atoms, written as Quantum ESPRESSO input:
```
&SYSTEM
  ibrav = 0, nat = 16, ntyp = 2
/
ATOMIC_SPECIES
Ru 101.07 Ru.upf
Cl 35.45 Cl.upf
CELL_PARAMETERS angstrom
7.385 0.000 0.000
-3.692 6.395 0.000
0.000 0.000 5.964
ATOMIC_POSITIONS angstrom
Ru 4.032 0.000 1.491
Ru 3.352 0.000 4.473
Ru -2.016 3.492 1.491
Ru 1.676 2.903 1.491
Ru 2.016 3.492 4.473
Ru -1.676 2.903 4.473
Cl 0.000 4.264 0.000
Cl 3.692 2.132 2.982
Cl 3.692 2.132 0.000
Cl 0.000 4.264 2.982
Cl 1.752 0.000 1.491
Cl 5.632 0.000 4.473
Cl -0.876 1.518 1.491
Cl 2.816 4.878 1.491
Cl 0.876 1.518 4.473
Cl -2.816 4.878 4.473
```

As for the magnetic moment: 0.00 μB/cell. The total energy is -4.106 eV per atom. As for the polymorph energy (0 for the lowest one): 12.1 kJ/mol of atoms. The energy relative to the elements, uncorrected comes out at 4.2 eV/f.u.

=====

Record 2
Density functional theory data (PBE) for a relaxed NiHgOs2Ru crystal. Values from VASP.

Cell and atoms, written as Quantum ESPRESSO input:
```
&SYSTEM
  ibrav = 0, nat = 5, ntyp = 4
/
ATOMIC_SPECIES
Ru 101.07 Ru.upf
Os 190.23 Os.upf
Hg 200.59 Hg.upf
Ni 58.69 Ni.upf
CELL_PARAMETERS angstrom
4.454 0.000 0.000
0.000 4.626 0.000
0.000 0.000 4.454
ATOMIC_POSITIONS angstrom
Ru 2.227 2.313 2.227
Os 0.000 0.000 2.227
Os 2.227 0.000 0.000
Hg 0.000 2.313 0.000
Ni 0.000 0.000 0.000
```

The value obtained for the formation energy is 187.7 kJ per mole of atoms. As for the magnetic moment: 4.23 μB/cell. The total energy is -5.619 eV per atom.

=====

Record 3
Density functional theory data (PBE) for a relaxed PuP2Rh3 crystal. Values from VASP.

Cell and atoms, written as Quantum ESPRESSO input:
```
&SYSTEM
  ibrav = 0, nat = 12, ntyp = 3
/
ATOMIC_SPECIES
Pu 244.00 Pu.upf
P 30.97 P.upf
Rh 102.91 Rh.upf
CELL_PARAMETERS angstrom
-1.587 -3.089 1.288
5.856 -5.026 0.491
2.780 -0.654 7.185
ATOMIC_POSITIONS angstrom
Pu -0.335 -3.406 2.070
Pu 7.385 -5.363 6.894
P 2.572 -3.030 6.557
P 4.478 -5.739 2.407
P 4.427 -6.359 6.186
P 2.622 -2.410 2.778
Rh 4.749 -4.075 6.735
Rh 3.834 -2.152 4.891
Rh 1.238 -3.185 4.541
Rh 5.811 -5.584 4.424
Rh 4.802 -3.528 2.785
Rh 2.300 -4.694 2.230
```

The value obtained for the formation energy is -68.7 kJ per mole of atoms. As for the magnetic moment: 10.73 μB/cell. The total energy is -8.580 eV per atom.

=====

Record 4
Density functional theory data (PBE) for a relaxed LiCdAg crystal. Values from VASP.

Cell and atoms, written as Quantum ESPRESSO input:
```
&SYSTEM
  ibrav = 0, nat = 3, ntyp = 3
/
ATOMIC_SPECIES
Li 6.94 Li.upf
Ag 107.87 Ag.upf
Cd 112.41 Cd.upf
CELL_PARAMETERS angstrom
5.308 -0.013 0.015
4.259 3.167 0.006
1.049 0.352 3.160
ATOMIC_POSITIONS angstrom
Li 3.950 1.306 2.091
Ag 9.464 3.120 0.059
Cd 6.768 2.233 1.053
```

The value obtained for the formation energy is -20.3 kJ per mole of atoms. As for the magnetic moment: 0.00 μB/cell. The total energy is -2.104 eV per atom. As for the polymorph energy (0 for the lowest one): 0.0 kJ/mol of atoms.

=====

Record 5
Density functional theory data (PBE) for a relaxed CeErAl crystal. Values from VASP.

Cell and atoms, written as Quantum ESPRESSO input:
```
&SYSTEM
  ibrav = 0, nat = 6, ntyp = 3
/
ATOMIC_SPECIES
Ce 140.12 Ce.upf
Er 167.26 Er.upf
Al 26.98 Al.upf
CELL_PARAMETERS angstrom
2.606 2.550 0.739
-2.606 2.550 0.739
0.000 2.392 11.974
ATOMIC_POSITIONS angstrom
Ce 0.000 2.465 5.564
Ce 0.000 5.027 7.888
Er 0.000 3.511 2.222
Er 0.000 3.981 11.230
Al 0.000 5.569 4.578
Al 0.000 1.923 8.874
```

The value obtained for the formation energy is -18.7 kJ per mole of atoms. As for the magnetic moment: 0.17 μB/cell. The total energy is -4.940 eV per atom. As for the polymorph energy (0 for the lowest one): 2.6 kJ/mol of atoms.

=====

Record 6
Density functional theory data (PBE) for a relaxed NpCoBi crystal. Values from VASP.

Cell and atoms, written as Quantum ESPRESSO input:
```
&SYSTEM
  ibrav = 0, nat = 6, ntyp = 3
/
ATOMIC_SPECIES
Co 58.93 Co.upf
Bi 208.98 Bi.upf
Np 237.00 Np.upf
CELL_PARAMETERS angstrom
5.494 0.000 0.000
2.747 4.990 0.000
2.747 0.000 4.340
ATOMIC_POSITIONS angstrom
Co 6.867 2.495 2.170
Co 4.120 2.495 2.170
Bi 5.494 1.587 0.000
Bi 2.747 3.403 0.000
Np 5.494 0.000 3.119
Np 2.747 0.000 1.221
```

The value obtained for the formation energy is 27.2 kJ per mole of atoms. As for the magnetic moment: 5.32 μB/cell. The total energy is -7.694 eV per atom.

=====

Record 7
Density functional theory data (PBE) for a relaxed In2NiHgPb crystal. Values from VASP.

Cell and atoms, written as Quantum ESPRESSO input:
```
&SYSTEM
  ibrav = 0, nat = 5, ntyp = 4
/
ATOMIC_SPECIES
Pb 207.20 Pb.upf
Ni 58.69 Ni.upf
Hg 200.59 Hg.upf
In 114.82 In.upf
CELL_PARAMETERS angstrom
5.013 0.000 0.000
0.000 5.013 0.000
0.000 0.000 5.241
ATOMIC_POSITIONS angstrom
Pb 0.000 0.000 2.621
Ni 0.000 0.000 0.000
Hg 2.506 2.506 2.621
In 0.000 2.506 0.000
In 2.506 0.000 0.000
```

The value obtained for the formation energy is 1.5 kJ per mole of atoms. As for the magnetic moment: 0.00 μB/cell. The total energy is -3.038 eV per atom. As for the polymorph energy (0 for the lowest one): 0.0 kJ/mol of atoms.

=====

Record 8
Density functional theory data (PBE) for a relaxed LaPr2SmY2 crystal. Values from VASP.

Cell and atoms, written as Quantum ESPRESSO input:
```
&SYSTEM
  ibrav = 0, nat = 12, ntyp = 4
/
ATOMIC_SPECIES
La 138.91 La.upf
Pr 140.91 Pr.upf
Sm 150.36 Sm.upf
Y 88.91 Y.upf
CELL_PARAMETERS angstrom
3.439 0.000 0.000
0.000 6.693 0.000
0.000 0.000 18.469
ATOMIC_POSITIONS angstrom
La 0.000 0.000 0.000
La 1.720 3.346 9.234
Pr 1.720 1.881 5.784
Pr 0.000 5.227 3.450
Pr 1.720 4.812 12.685
Pr 0.000 1.466 15.019
Sm 1.720 3.346 0.000
Sm 0.000 0.000 9.234
Y 1.720 5.249 6.516
Y 1.720 1.444 11.953
Y 0.000 4.790 15.750
Y 0.000 1.903 2.718
```

The value obtained for the formation energy is 25.1 kJ per mole of atoms. As for the magnetic moment: 0.00 μB/cell. The total energy is -5.096 eV per atom.

=====

Record 9
Density functional theory data (PBE) for a relaxed Ca3Si2Ni6 crystal. Values from VASP.

Cell and atoms, written as Quantum ESPRESSO input:
```
&SYSTEM
  ibrav = 0, nat = 22, ntyp = 3
/
ATOMIC_SPECIES
Ca 40.08 Ca.upf
Si 28.09 Si.upf
Ni 58.69 Ni.upf
CELL_PARAMETERS angstrom
-6.562 1.348 3.711
1.989 -7.339 0.914
5.506 4.509 2.830
ATOMIC_POSITIONS angstrom
Ca -0.747 4.144 4.628
Ca -0.309 1.712 1.912
Ca 2.191 -0.827 1.095
Ca 5.303 -2.002 2.649
Ca -1.337 -1.752 1.352
Ca -3.236 -4.239 3.273
Si 0.994 -3.669 0.457
Si -3.281 0.674 1.855
Si 2.753 2.254 1.415
Si 0.466 -0.741 3.728
Ni -0.012 1.369 4.750
Ni -2.661 2.370 3.426
Ni 1.605 3.487 3.115
Ni 0.944 -2.851 2.706
Ni 3.126 -3.509 1.534
Ni -1.820 -0.043 3.610
Ni 2.752 -1.439 3.846
Ni 4.369 0.679 2.211
Ni -0.775 -4.530 1.819
Ni -1.149 -2.460 4.130
Ni 2.081 0.978 3.325
Ni -3.798 -1.460 2.807
```

As for the magnetic moment: 0.78 μB/cell. The total energy is -5.105 eV per atom. The energy relative to the elements, uncorrected comes out at -4.6 eV/f.u.

=====

Record 10
Density functional theory data (PBE) for a relaxed ZrIn2Cu9 crystal. Values from VASP.

Cell and atoms, written as Quantum ESPRESSO input:
```
&SYSTEM
  ibrav = 0, nat = 12, ntyp = 3
/
ATOMIC_SPECIES
Zr 91.22 Zr.upf
In 114.82 In.upf
Cu 63.55 Cu.upf
CELL_PARAMETERS angstrom
4.985 0.000 0.000
2.493 4.317 0.000
2.493 1.439 8.114
ATOMIC_POSITIONS angstrom
Zr 0.000 0.000 0.000
In 7.478 4.317 3.372
In 2.493 1.439 4.742
Cu 4.985 2.878 0.007
Cu 4.985 2.878 8.106
Cu 4.985 2.878 4.057
Cu 3.728 2.152 2.021
Cu 6.243 2.152 2.021
Cu 4.985 4.330 2.021
Cu 6.243 3.604 6.093
Cu 4.985 1.426 6.093
Cu 3.728 3.604 6.093
```

The value obtained for the formation energy is -5.7 kJ per mole of atoms. As for the magnetic moment: 0.00 μB/cell. The total energy is -4.300 eV per atom.

=====

Record 11
Density functional theory data (PBE) for a relaxed CaTe2Cl crystal. Values from VASP.

Cell and atoms, written as Quantum ESPRESSO input:
```
&SYSTEM
  ibrav = 0, nat = 4, ntyp = 3
/
ATOMIC_SPECIES
Ca 40.08 Ca.upf
Te 127.60 Te.upf
Cl 35.45 Cl.upf
CELL_PARAMETERS angstrom
2.878 0.000 7.951
-1.439 2.493 7.951
-1.439 -2.493 7.951
ATOMIC_POSITIONS angstrom
Ca 0.000 0.000 11.927
Te 0.000 0.000 21.214
Te 0.000 0.000 2.640
Cl 0.000 0.000 0.000
```

As for the magnetic moment: 0.00 μB/cell. The total energy is -3.171 eV per atom. As for the polymorph energy (0 for the lowest one): 42.8 kJ/mol of atoms. The energy relative to the elements, uncorrected comes out at -2.6 eV/f.u.

=====

Record 12
Density functional theory data (PBE) for a relaxed LiLaLuSi crystal. Values from VASP.

Cell and atoms, written as Quantum ESPRESSO input:
```
&SYSTEM
  ibrav = 0, nat = 4, ntyp = 4
/
ATOMIC_SPECIES
Si 28.09 Si.upf
Lu 174.97 Lu.upf
Li 6.94 Li.upf
La 138.91 La.upf
CELL_PARAMETERS angstrom
-2.824 1.568 -3.897
-3.721 -2.938 -1.774
-4.833 1.311 0.742
ATOMIC_POSITIONS angstrom
Si -2.844 -0.015 -1.232
Lu 0.000 0.000 0.000
Li -8.533 -0.044 -3.697
La -5.689 -0.030 -2.465
```

As for the magnetic moment: 0.00 μB/cell. The total energy is -4.513 eV per atom. The energy relative to the elements, uncorrected comes out at -1.3 eV/f.u.

=====

Record 13
Density functional theory data (PBE) for a relaxed Sc2Cu2Ge crystal. Values from VASP.

Cell and atoms, written as Quantum ESPRESSO input:
```
&SYSTEM
  ibrav = 0, nat = 5, ntyp = 3
/
ATOMIC_SPECIES
Sc 44.96 Sc.upf
Ge 72.64 Ge.upf
Cu 63.55 Cu.upf
CELL_PARAMETERS angstrom
3.317 0.000 0.000
0.000 3.317 0.000
1.659 1.659 8.164
ATOMIC_POSITIONS angstrom
Sc 1.659 1.659 1.758
Sc 3.317 3.317 6.407
Ge 0.000 0.000 0.000
Cu 3.317 1.659 4.082
Cu 1.659 3.317 4.082
```

The value obtained for the formation energy is -21.9 kJ per mole of atoms. As for the magnetic moment: 0.00 μB/cell. The total energy is -5.322 eV per atom. As for the polymorph energy (0 for the lowest one): 16.4 kJ/mol of atoms.

=====

Record 14
Density functional theory data (PBE) for a relaxed ScZnBr2 crystal. Values from VASP.

Cell and atoms, written as Quantum ESPRESSO input:
```
&SYSTEM
  ibrav = 0, nat = 4, ntyp = 3
/
ATOMIC_SPECIES
Br 79.90 Br.upf
Sc 44.96 Sc.upf
Zn 65.41 Zn.upf
CELL_PARAMETERS angstrom
6.828 0.140 -2.125
5.853 3.519 -2.125
-0.335 -0.097 5.325
ATOMIC_POSITIONS angstrom
Br 1.494 0.431 4.465
Br 10.637 3.070 -0.042
Sc 6.124 1.767 1.330
Zn -0.071 -0.020 1.184
```

As for the magnetic moment: 0.44 μB/cell. The total energy is -3.622 eV per atom. As for the polymorph energy (0 for the lowest one): 2.0 kJ/mol of atoms. The energy relative to the elements, uncorrected comes out at -3.5 eV/f.u.

=====

Record 15
Density functional theory data (PBE) for a relaxed Tl4SnSb crystal. Values from VASP.

Cell and atoms, written as Quantum ESPRESSO input:
```
&SYSTEM
  ibrav = 0, nat = 12, ntyp = 3
/
ATOMIC_SPECIES
Tl 204.38 Tl.upf
Sn 118.71 Sn.upf
Sb 121.76 Sb.upf
CELL_PARAMETERS angstrom
-1.544 -3.397 -4.903
-1.922 -7.907 3.316
-5.186 7.663 1.579
ATOMIC_POSITIONS angstrom
Tl -3.600 -2.950 -1.975
Tl -6.714 -1.062 -1.269
Tl -4.969 1.681 -3.369
Tl -3.183 -6.321 -0.121
Tl -5.052 -0.691 1.967
Tl -3.684 -5.321 3.361
Tl -1.938 -2.579 1.261
Tl -5.470 2.681 0.113
Sn -0.767 -0.739 -1.182
Sn -7.886 -2.902 1.175
Sb -3.657 0.102 -0.854
Sb -4.996 -3.742 0.846
```

As for the magnetic moment: 0.00 μB/cell. The total energy is -2.902 eV per atom. As for the polymorph energy (0 for the lowest one): 0.0 kJ/mol of atoms. The energy relative to the elements, uncorrected comes out at 0.2 eV/f.u.

=====

Record 16
Density functional theory data (PBE) for a relaxed Mg2BeAs crystal. Values from VASP.

Cell and atoms, written as Quantum ESPRESSO input:
```
&SYSTEM
  ibrav = 0, nat = 4, ntyp = 3
/
ATOMIC_SPECIES
Be 9.01 Be.upf
As 74.92 As.upf
Mg 24.30 Mg.upf
CELL_PARAMETERS angstrom
-0.822 1.560 3.271
-2.851 0.383 -0.899
-4.337 -5.082 1.334
ATOMIC_POSITIONS angstrom
Be -5.802 -2.744 1.961
As -2.208 -0.395 1.744
Mg -4.313 -4.999 1.301
Mg -3.617 -2.432 0.251
```

The value obtained for the formation energy is 6.8 kJ per mole of atoms. As for the magnetic moment: 0.00 μB/cell. The total energy is -2.821 eV per atom. As for the polymorph energy (0 for the lowest one): 23.8 kJ/mol of atoms.

=====

Record 17
Density functional theory data (PBE) for a relaxed Li2HoPdO4 crystal. Values from VASP.

Cell and atoms, written as Quantum ESPRESSO input:
```
&SYSTEM
  ibrav = 0, nat = 8, ntyp = 4
/
ATOMIC_SPECIES
Li 6.94 Li.upf
Ho 164.93 Ho.upf
Pd 106.42 Pd.upf
O 16.00 O.upf
CELL_PARAMETERS angstrom
3.336 0.000 0.000
0.000 5.262 0.158
0.000 -1.776 5.054
ATOMIC_POSITIONS angstrom
Li 1.668 -0.888 2.527
Li 0.000 1.743 2.606
Ho 1.668 2.631 0.079
Pd 0.000 0.000 0.000
O 1.668 0.753 1.297
O 1.668 2.733 3.915
O 0.000 -0.032 3.893
O 0.000 3.518 1.319
```

As for the magnetic moment: 0.89 μB/cell. The total energy is -6.057 eV per atom. The energy relative to the elements, uncorrected comes out at -15.0 eV/f.u.

=====

Record 18
Density functional theory data (PBE) for a relaxed InCo2Ge crystal. Values from VASP.

Cell and atoms, written as Quantum ESPRESSO input:
```
&SYSTEM
  ibrav = 0, nat = 8, ntyp = 3
/
ATOMIC_SPECIES
Ge 72.64 Ge.upf
Co 58.93 Co.upf
In 114.82 In.upf
CELL_PARAMETERS angstrom
-2.084 2.730 5.713
-4.929 -4.474 0.340
-1.833 -2.606 4.465
ATOMIC_POSITIONS angstrom
Ge -3.506 -0.872 3.026
Ge -5.134 -3.976 3.916
Co -2.282 0.371 4.469
Co -3.894 -2.982 2.303
Co -4.229 -2.812 5.634
Co -7.287 -3.276 8.630
In 0.000 0.000 0.000
In -3.712 -0.374 6.602
```

The value obtained for the formation energy is 33.2 kJ per mole of atoms. As for the magnetic moment: 0.00 μB/cell. The total energy is -5.047 eV per atom.

=====

Record 19
Density functional theory data (PBE) for a relaxed CaReIO2 crystal. Values from VASP.

Cell and atoms, written as Quantum ESPRESSO input:
```
&SYSTEM
  ibrav = 0, nat = 5, ntyp = 4
/
ATOMIC_SPECIES
I 126.90 I.upf
Re 186.21 Re.upf
Ca 40.08 Ca.upf
O 16.00 O.upf
CELL_PARAMETERS angstrom
4.351 0.000 0.000
0.000 4.351 0.000
0.000 0.000 6.235
ATOMIC_POSITIONS angstrom
I 0.000 0.000 3.117
Re 2.175 2.175 3.117
Ca 0.000 0.000 0.000
O 0.000 2.175 0.000
O 2.175 0.000 0.000
```

As for the magnetic moment: 6.36 μB/cell. The total energy is -4.761 eV per atom. As for the polymorph energy (0 for the lowest one): 119.9 kJ/mol of atoms. The energy relative to the elements, uncorrected comes out at 2.1 eV/f.u.

=====

Record 20
Density functional theory data (PBE) for a relaxed LiMn5Pt6 crystal. Values from VASP.

Cell and atoms, written as Quantum ESPRESSO input:
```
&SYSTEM
  ibrav = 0, nat = 12, ntyp = 3
/
ATOMIC_SPECIES
Mn 54.94 Mn.upf
Pt 195.08 Pt.upf
Li 6.94 Li.upf
CELL_PARAMETERS angstrom
-4.189 -0.150 0.534
-0.425 -4.752 -4.667
-1.369 -4.506 4.712
ATOMIC_POSITIONS angstrom
Mn -3.919 -5.477 1.161
Mn -1.857 -1.528 1.724
Mn -0.212 -2.376 -2.334
Mn -3.702 -3.128 3.522
Mn -2.065 -3.931 -0.582
Pt -4.267 -5.203 -1.498
Pt -4.053 -2.802 0.861
Pt -2.201 -1.265 -0.902
Pt -2.413 -3.637 -3.232
Pt -1.931 -6.606 -0.282
Pt -1.716 -4.205 2.077
Li 0.000 0.000 0.000
```

The value obtained for the formation energy is -39.3 kJ per mole of atoms. As for the magnetic moment: 22.36 μB/cell. The total energy is -7.408 eV per atom.